[1]
Here is a geometry-optimized CsInRu3 structure from Alexandria. Energies are from PBE-GGA.

Unit cell a=4.959 b=4.959 c=4.959 alpha=90.00 beta=90.00 gamma=90.00
Positions (direct):
Cs (0.000, 0.000, 0.000)
In (0.500, 0.500, 0.500)
Ru (0.000, 0.000, 0.500)
Ru (0.000, 0.500, 0.000)
Ru (0.500, 0.000, 0.000)

Summary:
- energy above the lowest structure with this stoichiometry (eV per formula unit) = 3.71
- space-group type = Pm-3m (221)
- E_form (eV per atom) = 2.625



[2]
Here is a geometry-optimized MgSn2Pd structure from Alexandria. Energies are from PBE-GGA.

Unit cell a=3.316 b=3.316 c=7.795 alpha=90.00 beta=90.00 gamma=90.00
Positions (direct):
Mg (0.000, 0.000, 0.000)
Sn (0.500, 0.500, 0.278)
Sn (0.500, 0.500, 0.722)
Pd (0.000, 0.000, 0.500)

Summary:
- space-group type = P4/mmm (123)
- E_form (eV per atom) = -0.278



[3]
Here is a geometry-optimized BaC2O4 structure from Alexandria. Energies are from PBE-GGA.

Unit cell a=5.837 b=8.373 c=9.575 alpha=90.00 beta=90.00 gamma=90.00
Positions (direct):
Ba (0.232, 0.171, 0.354)
Ba (0.268, 0.829, 0.854)
Ba (0.732, 0.329, 0.646)
Ba (0.768, 0.671, 0.146)
C (0.154, 0.155, 0.653)
C (0.165, 0.610, 0.475)
C (0.335, 0.390, 0.975)
C (0.346, 0.845, 0.153)
C (0.654, 0.345, 0.347)
C (0.665, 0.890, 0.525)
C (0.835, 0.110, 0.025)
C (0.846, 0.655, 0.847)
O (0.041, 0.115, 0.764)
O (0.056, 0.715, 0.428)
O (0.135, 0.899, 0.140)
O (0.220, 0.493, 0.020)
O (0.280, 0.507, 0.520)
O (0.365, 0.101, 0.640)
O (0.444, 0.285, 0.928)
O (0.459, 0.885, 0.264)
O (0.541, 0.385, 0.236)
O (0.556, 0.785, 0.572)
O (0.635, 0.601, 0.860)
O (0.720, 0.007, 0.980)
O (0.780, 0.993, 0.480)
O (0.865, 0.399, 0.360)
O (0.944, 0.215, 0.072)
O (0.959, 0.615, 0.736)

Summary:
- formation energy from raw total energies (eV/atom) = -1.456
- energy above the lowest structure with this stoichiometry (eV per formula unit) = 2.60
- space-group type = P2_12_12_1 (19)



| no. | final energy (eV/cell) | DOS at the Fermi energy (states/eV/f.u.) |
| --- | --- | --- |
| 1 | -18.3 | 10.73 |
| 2 | -15.9 | 1.60 |
| 3 | -201.6 | 0.00 |